Record 1
Density functional theory data (GGA-PBE) for crystalline MgAlMo2 at its relaxed geometry.

Values from the calculation:
Formation energy: 0.0726 eV per atom
Uncorrected energy: -6.677 eV/atom
Spin magnetization: 0.00 μB per atom
N(E_F): 2.6 states/eV/f.u.

abc: 2.796 2.796 9.116
angles: 90.00 90.00 110.02
Positions (direct):
1 Al 0.000 0.000 0.484
2 Mg 0.500 0.500 0.754
3 Mo 0.000 0.000 0.014
4 Mo 0.500 0.500 0.248

Record 2
Density functional theory data (GGA-PBE) for crystalline K4I3F at its relaxed geometry.

Values from the calculation:
Energy relative to the elements, uncorrected: -1.661 eV per atom
Uncorrected energy: -3.025 eV/atom
Spin magnetization: 0.00 μB per atom
N(E_F): 0.0 states/eV/f.u.

abc: 8.012 8.012 8.012
angles: 91.43 117.21 121.18
Positions (direct):
1 K 0.157 0.700 0.857
2 K 0.157 0.300 0.458
3 K 0.589 0.246 0.343
4 K 0.096 0.754 0.343
5 I 0.559 0.227 0.785
6 I 0.016 0.000 0.016
7 I 0.559 0.773 0.332
8 F 0.018 0.500 0.518

Record 3
Density functional theory data (GGA-PBE) for crystalline Pu2Ga9Pd6 at its relaxed geometry.

Values from the calculation:
Formation energy: -0.4333 eV per atom
Uncorrected energy: -5.555 eV/atom
Spin magnetization: 0.67 μB per atom
N(E_F): 30.4 states/eV/f.u.

abc: 5.433 5.433 12.679
angles: 90.00 90.00 120.00
Each line ends with the local moment (μB).
Positions (direct):
1 Pu 0.000 0.000 0.649  5.29
2 Pu 0.000 0.000 0.351  5.29
3 Ga 0.500 0.000 0.838  0.01
4 Ga 0.000 0.500 0.838  0.01
5 Ga 0.500 0.500 0.838  0.01
6 Ga 0.500 0.000 0.162  0.01
7 Ga 0.000 0.500 0.162  0.01
8 Ga 0.500 0.500 0.162  0.01
9 Ga 0.500 0.000 0.500  -0.03
10 Ga 0.000 0.500 0.500  -0.03
11 Ga 0.500 0.500 0.500  -0.03
12 Pd 0.333 0.667 0.000  0.02
13 Pd 0.667 0.333 0.000  0.02
14 Pd 0.333 0.667 0.673  0.01
15 Pd 0.667 0.333 0.673  0.01
16 Pd 0.667 0.333 0.327  0.01
17 Pd 0.333 0.667 0.327  0.01

Record 4
Density functional theory data (GGA-PBE) for crystalline AlCr2Ru at its relaxed geometry.

Values from the calculation:
Formation energy: 0.0100 eV per atom
Uncorrected energy: -8.056 eV/atom
Spin magnetization: 0.00 μB per atom
N(E_F): 2.7 states/eV/f.u.

abc: 2.702 2.702 7.122
angles: 90.00 90.00 90.00
Positions (direct):
1 Ru 0.500 0.500 0.250
2 Al 0.500 0.500 0.750
3 Cr 0.000 0.000 0.005
4 Cr 0.000 0.000 0.495

Record 5
Density functional theory data (GGA-PBE) for crystalline Re2OsSe at its relaxed geometry.

Values from the calculation:
Energy relative to the elements, uncorrected: 0.485 eV per atom
Uncorrected energy: -9.418 eV/atom
Spin magnetization: 0.00 μB per atom
N(E_F): 2.7 states/eV/f.u.

abc: 5.042 5.042 4.491
angles: 87.25 87.25 33.40
Positions (direct):
1 Os 0.278 0.278 0.223
2 Re 0.006 0.006 0.029
3 Re 0.716 0.716 0.766
4 Se 0.499 0.499 0.482

Record 6
Density functional theory data (GGA-PBE) for crystalline Al2PbBr at its relaxed geometry.

Values from the calculation:
Energy relative to the elements, uncorrected: 0.235 eV per atom
Uncorrected energy: -2.981 eV/atom
Spin magnetization: 0.00 μB per atom
N(E_F): 2.4 states/eV/f.u.

abc: 5.166 5.166 5.166
angles: 60.00 60.00 60.00
Positions (direct):
1 Pb 0.500 0.500 0.500
2 Al 0.250 0.250 0.250
3 Al 0.750 0.750 0.750
4 Br 0.000 0.000 0.000

Record 7
Density functional theory data (GGA-PBE) for crystalline Sm5Tl2In at its relaxed geometry.

Values from the calculation:
Formation energy: -0.3106 eV per atom
Uncorrected energy: -4.194 eV/atom
Spin magnetization: 0.00 μB per atom
N(E_F): 9.2 states/eV/f.u.

abc: 8.684 8.684 8.946
angles: 119.04 119.04 90.00
Positions (direct):
1 Sm 0.502 0.694 0.695
2 Sm 0.806 0.998 0.305
3 Sm 0.000 0.000 0.000
4 Sm 0.500 0.500 0.000
5 Sm 0.194 0.002 0.695
6 Sm 0.694 0.194 0.695
7 Sm 0.002 0.502 0.695
8 Sm 0.306 0.806 0.305
9 Sm 0.998 0.498 0.305
10 Sm 0.498 0.306 0.305
11 Tl 0.146 0.354 0.000
12 Tl 0.646 0.146 0.000
13 Tl 0.354 0.854 0.000
14 Tl 0.854 0.646 0.000
15 In 0.750 0.750 0.500
16 In 0.250 0.250 0.500

Record 8
Density functional theory data (GGA-PBE) for crystalline TiVCoRe at its relaxed geometry.

Values from the calculation:
Formation energy: -0.3064 eV per atom
Uncorrected energy: -9.448 eV/atom
Spin magnetization: 0.20 μB per atom
N(E_F): 2.8 states/eV/f.u.

abc: 4.259 4.259 4.259
angles: 60.00 60.00 60.00
Each line ends with the local moment (μB).
Positions (direct):
1 Re 0.000 0.000 0.000  -0.03
2 Ti 0.250 0.250 0.250  -0.07
3 Co 0.500 0.500 0.500  0.86
4 V 0.750 0.750 0.750  0.13

no.,ρ (g/cm³)
1,6.0
2,2.5
3,9.0
4,7.4
5,17.0
6,5.8
7,8.6
8,10.5